# 1
Compound: CdTe2WBr
Source: the Alexandria database
Functional: PBE-GGA
Structure: optimized geometry

Its crystal system is tetragonal. The calculated density is 6.3 g/cm3. The volume is 167.49 Å³/cell.

It has space group P4/mmm (No. 123), with a = 5.745 Å, b = 5.745 Å, c = 5.074 Å, α = 90.00°, β = 90.00° and γ = 90.00°. The inequivalent atoms are Cd at (0.000, 0.000, 0.000), Te at (0.000, 0.500, 0.500), W at (0.500, 0.500, 0.000) and Br at (0.000, 0.000, 0.500).

***

# 2
Compound: Y2CdTeBr
Source: the Alexandria database
Functional: PBE-GGA
Structure: optimized geometry

Its crystal system is tetragonal. The calculated density is 4.6 g/cm3. The volume is 181.23 Å³/cell.

It has space group P4/mmm (No. 123), with a = 5.767 Å, b = 5.767 Å, c = 5.448 Å, α = 90.00°, β = 90.00° and γ = 90.00°. The inequivalent atoms are Y at (0.000, 0.500, 0.000), Cd at (0.000, 0.000, 0.000), Te at (0.000, 0.000, 0.500) and Br at (0.500, 0.500, 0.500).

***

# 3
Compound: YCdTeBr2
Source: the Alexandria database
Functional: PBE-GGA
Structure: optimized geometry

Its crystal system is tetragonal. The calculated density is 4.0 g/cm3. The volume is 201.22 Å³/cell.

It has space group P4/mmm (No. 123), with a = 5.878 Å, b = 5.878 Å, c = 5.823 Å, α = 90.00°, β = 90.00° and γ = 90.00°. The inequivalent atoms are Y at (0.000, 0.000, 0.000), Cd at (0.500, 0.500, 0.000), Te at (0.000, 0.000, 0.500) and Br at (0.000, 0.500, 0.500).

***

# 4
Compound: ThCdBr
Source: the Alexandria database
Functional: PBE-GGA
Structure: optimized geometry

Its crystal system is orthorhombic. The calculated density is 6.6 g/cm3. The volume is 854.14 Å³/cell.

It has space group Fmmm (No. 69), with a = 4.572 Å, b = 8.105 Å, c = 23.050 Å, α = 90.00°, β = 90.00° and γ = 90.00°. The inequivalent atoms are Th at (0.000, 0.000, 0.087), Cd at (0.000, 0.166, 0.500) and Br at (0.000, 0.000, 0.327).

***

# 5
Compound: TiCdBr2
Source: the Alexandria database
Functional: PBE-GGA
Structure: optimized geometry

Its crystal system is trigonal. The energy above the most stable polymorph in this dataset is 0 meV/atom. The calculated density is 4.8 g/cm3. The volume is 329.20 Å³/cell.

It has space group R-3m (No. 166, hexagonal axes), with a = 3.4230 Å, b = 3.4230 Å, c = 32.4428 Å, α = 90.00°, β = 90.00° and γ = 120.00°. The inequivalent atoms are Ti at (0.0000, 0.0000, 0.0000), Cd at (0.0000, 0.0000, 0.5000) and Br at (0.0000, 0.0000, 0.3866).

***

# 6
Compound: TiCdBr2
Source: the Alexandria database
Functional: PBE-GGA
Structure: optimized geometry

Its crystal system is tetragonal. The energy above the most stable polymorph in this dataset is 196 meV/atom. The calculated density is 4.3 g/cm3. The volume is 495.87 Å³/cell.

It has space group I-42d (No. 122), with a = 8.975 Å, b = 8.975 Å, c = 6.156 Å, α = 90.00°, β = 90.00° and γ = 90.00°. The inequivalent atoms are Ti at (0.000, 0.000, 0.000), Cd at (0.000, 0.000, 0.500) and Br at (0.119, 0.250, 0.125).

***

# 7
Compound: Ti2CdBr
Source: the Alexandria database
Functional: PBE-GGA
Structure: optimized geometry

Its crystal system is cubic. The energy above the most stable polymorph in this dataset is 0 meV/atom. The calculated density is 6.3 g/cm3. The volume is 304.48 Å³/cell.

It has space group Fm-3m (No. 225), with a = 6.728 Å, b = 6.728 Å, c = 6.728 Å, α = 90.00°, β = 90.00° and γ = 90.00°. The inequivalent atoms are Ti at (0.250, 0.250, 0.250), Cd at (0.000, 0.000, 0.000) and Br at (0.000, 0.000, 0.500).

***

# 8
Compound: TiCdBr2
Source: the Alexandria database
Functional: PBE-GGA
Structure: optimized geometry

Its crystal system is cubic. The energy above the most stable polymorph in this dataset is 561 meV/atom. The calculated density is 5.6 g/cm3. The volume is 380.37 Å³/cell.

It has space group Fm-3m (No. 225), with a = 7.246 Å, b = 7.246 Å, c = 7.246 Å, α = 90.00°, β = 90.00° and γ = 90.00°. The inequivalent atoms are Ti at (0.000, 0.000, 0.000), Cd at (0.000, 0.000, 0.500) and Br at (0.250, 0.250, 0.250).

***

How do the records compare in energy relative to the elements, uncorrected? In the order shown, they have 1.655 0.036 -0.065 -0.538 -0.652 -0.456 0.308 -0.090 eV per atom.
How do the records compare in final energy? In the order shown, they have -2.7098 -3.6957 -2.8383 -3.8737 -3.6905 -3.4949 -4.2866 -3.1293 eV per atom.